# 1
The following is a PBE calculation of a relaxed LaSnH8Ir2 crystal, from Alexandria via LeMat-Bulk.

Output
Fermi-level density of states ... 5.11 states/eV/f.u.
Spin magnetization ... 0.00 μB/atom
Raw total energy ... -162.36 eV per cell

Lattice parameters (Å, degrees): 4.9358 4.9358 18.0293 90.00 90.00 120.00
Space group R-3m (No. 166, hexagonal axes)
Unique sites:
La (0.0000, 0.0000, 0.0000) [3 per cell]
Sn (0.0000, 0.0000, 0.5000) [3 per cell]
H (0.0000, 0.0000, 0.3164) [6 per cell]
H (0.0538, 0.5269, 0.5547) [18 per cell]
Ir (0.0000, 0.0000, 0.2263) [6 per cell]

---

# 2
The following is a PBE calculation of a relaxed La2SnHIr crystal, from Alexandria via LeMat-Bulk.

Output
Fermi-level density of states ... 2.37 states/eV/f.u.
Spin magnetization ... 0.00 μB/atom
Raw total energy ... -28.73 eV per cell

Lattice parameters (Å, degrees): 5.174 5.174 4.057 90.00 90.00 90.00
Space group P4/mmm (No. 123)
Unique sites:
La (0.000, 0.500, 0.000) [2 per cell]
Sn (0.000, 0.000, 0.500) [1 per cell]
H (0.500, 0.500, 0.000) [1 per cell]
Ir (0.500, 0.500, 0.500) [1 per cell]

---

# 3
The following is a PBE calculation of a relaxed La2TeHIr crystal, from Alexandria via LeMat-Bulk.

Output
Fermi-level density of states ... 3.34 states/eV/f.u.
Spin magnetization ... 0.00 μB/atom
Raw total energy ... -29.18 eV per cell

Lattice parameters (Å, degrees): 5.423 5.423 3.747 90.00 90.00 90.00
Space group P4/mmm (No. 123)
Unique sites:
La (0.000, 0.500, 0.000) [2 per cell]
Te (0.000, 0.000, 0.500) [1 per cell]
H (0.500, 0.500, 0.000) [1 per cell]
Ir (0.500, 0.500, 0.500) [1 per cell]

---

# 4
The following is a PBE calculation of a relaxed LaTeH2Ir crystal, from Alexandria via LeMat-Bulk.

Output
Fermi-level density of states ... 1.59 states/eV/f.u.
Spin magnetization ... 0.00 μB/atom
Raw total energy ... -23.59 eV per cell

Lattice parameters (Å, degrees): 4.070 4.070 5.621 90.00 90.00 90.00
Space group P4/mmm (No. 123)
Unique sites:
La (0.000, 0.000, 0.000) [1 per cell]
Te (0.500, 0.500, 0.500) [1 per cell]
H (0.000, 0.500, 0.500) [2 per cell]
Ir (0.500, 0.500, 0.000) [1 per cell]

---

# 5
The following is a PBE calculation of a relaxed LaTmH8Ir2 crystal, from Alexandria via LeMat-Bulk.

Output
Fermi-level density of states ... 1.94 states/eV/f.u.
Spin magnetization ... 0.00 μB/atom
Raw total energy ... -172.74 eV per cell

Lattice parameters (Å, degrees): 4.8632 4.8632 18.5824 90.00 90.00 120.00
Space group R-3 (No. 148, hexagonal axes)
Unique sites:
La (0.0000, 0.0000, 0.0000) [3 per cell]
Tm (0.0000, 0.0000, 0.5000) [3 per cell]
H (0.0000, 0.0000, 0.3196) [6 per cell]
H (0.0436, 0.7570, 0.8927) [18 per cell]
Ir (0.0000, 0.0000, 0.2328) [6 per cell]

---

# 6
The following is a PBE calculation of a relaxed LaV2HIr crystal, from Alexandria via LeMat-Bulk.

Output
Fermi-level density of states ... 4.67 states/eV/f.u.
Spin magnetization ... 0.62 μB/atom
Raw total energy ... -28.21 eV per cell

Lattice parameters (Å, degrees): 4.810 4.810 3.502 90.00 90.00 90.00
Space group P4/mmm (No. 123)
Unique sites:
La (0.000, 0.000, 0.000) [1 per cell]
V (0.000, 0.500, 0.000) [2 per cell]
H (0.000, 0.000, 0.500) [1 per cell]
Ir (0.500, 0.500, 0.500) [1 per cell]

---

# 7
The following is a PBE calculation of a relaxed LaZnH8Ir2 crystal, from Alexandria via LeMat-Bulk.

Output
Fermi-level density of states ... 1.80 states/eV/f.u.
Spin magnetization ... 0.00 μB/atom
Raw total energy ... -158.65 eV per cell

Lattice parameters (Å, degrees): 4.7254 4.7254 16.4539 90.00 90.00 120.00
Space group R-3m (No. 166, hexagonal axes)
Unique sites:
La (0.0000, 0.0000, 0.0000) [3 per cell]
Zn (0.0000, 0.0000, 0.5000) [3 per cell]
H (0.0000, 0.0000, 0.3162) [6 per cell]
H (0.0385, 0.5192, 0.0785) [18 per cell]
Ir (0.0000, 0.0000, 0.2165) [6 per cell]

---

# 8
The following is a PBE calculation of a relaxed La2ZnHIr crystal, from Alexandria via LeMat-Bulk.

Output
Fermi-level density of states ... 3.96 states/eV/f.u.
Spin magnetization ... 0.00 μB/atom
Raw total energy ... -25.65 eV per cell

Lattice parameters (Å, degrees): 5.264 5.264 3.703 90.00 90.00 90.00
Space group P4/mmm (No. 123)
Unique sites:
La (0.000, 0.500, 0.000) [2 per cell]
Zn (0.000, 0.000, 0.500) [1 per cell]
H (0.500, 0.500, 0.000) [1 per cell]
Ir (0.500, 0.500, 0.500) [1 per cell]

---

> Which formula does entry 8 have?

La2ZnHIr

---

What did the second record say?
The following is a PBE calculation of a relaxed La2SnHIr crystal, from Alexandria via LeMat-Bulk.

Output
Fermi-level density of states ... 2.37 states/eV/f.u.
Spin magnetization ... 0.00 μB/atom
Raw total energy ... -28.73 eV per cell

Lattice parameters (Å, degrees): 5.174 5.174 4.057 90.00 90.00 90.00
Space group P4/mmm (No. 123)
Unique sites:
La (0.000, 0.500, 0.000) [2 per cell]
Sn (0.000, 0.000, 0.500) [1 per cell]
H (0.500, 0.500, 0.000) [1 per cell]
Ir (0.500, 0.500, 0.500) [1 per cell]

---

Please write out number 1 again, unchanged.
The following is a PBE calculation of a relaxed LaSnH8Ir2 crystal, from Alexandria via LeMat-Bulk.

Output
Fermi-level density of states ... 5.11 states/eV/f.u.
Spin magnetization ... 0.00 μB/atom
Raw total energy ... -162.36 eV per cell

Lattice parameters (Å, degrees): 4.9358 4.9358 18.0293 90.00 90.00 120.00
Space group R-3m (No. 166, hexagonal axes)
Unique sites:
La (0.0000, 0.0000, 0.0000) [3 per cell]
Sn (0.0000, 0.0000, 0.5000) [3 per cell]
H (0.0000, 0.0000, 0.3164) [6 per cell]
H (0.0538, 0.5269, 0.5547) [18 per cell]
Ir (0.0000, 0.0000, 0.2263) [6 per cell]

---

> What is the formula in the third record?

La2TeHIr